1.
PrEr3Tm5 | PBE | relaxed

Calculated values
- N(E_F) (states/eV/cell) = 28.38
- energy of formation from the pure elements (meV/atom) = 431
- final energy (eV/atom) = -4.11

Cell lengths 9.2619, 9.2619, 12.8387 Å; angles 50.76, 50.76, 50.31 degrees
With the nearest neighbours (Å) after each atom.
Fractional positions:
Tm 0.6773 0.3227 0.0000  1 Er 2.54, 1 Tm 2.79
Tm 0.4908 0.0758 0.7814  5 Tm 3.27-3.60, 3 Er 3.43-3.64, 2 Pr 3.60-3.63
Tm 0.9242 0.5092 0.2186  5 Tm 3.27-3.60, 3 Er 3.43-3.64, 2 Pr 3.60-3.63
Tm 0.3227 0.6773 0.0000  1 Er 2.54, 1 Tm 2.79
Tm 0.5557 0.5557 0.5647  4 Tm 3.25-3.60, 2 Er 3.29-3.55
Tm 0.4443 0.4443 0.4353  4 Tm 3.25-3.60, 2 Er 3.29-3.55
Tm 0.6275 0.6275 0.0745  7 Tm 3.21-3.54, 1 Pr 3.26
Tm 0.5092 0.9242 0.2186  5 Tm 3.27-3.60, 3 Er 3.43-3.64, 2 Pr 3.60-3.63
Tm 0.3725 0.3725 0.9255  7 Tm 3.21-3.54, 1 Pr 3.26
Tm 0.0758 0.4908 0.7814  5 Tm 3.27-3.60, 3 Er 3.43-3.64, 2 Pr 3.60-3.63
Pr 0.8966 0.8966 0.8661  2 Er 3.18-3.35, 1 Tm 3.26
Pr 0.1034 0.1034 0.1339  2 Er 3.18-3.35, 1 Tm 3.26
Er 0.6945 0.6945 0.6826  5 Tm 3.26-3.55, 1 Er 3.27
Er 0.8285 0.8285 0.3386  2 Er 3.11-3.27, 1 Tm 3.29, 1 Pr 3.35
Er 0.0000 0.0000 0.0000  2 Tm 2.54
Er 0.1715 0.1715 0.6614  2 Er 3.11-3.27, 1 Tm 3.29, 1 Pr 3.35
Er 0.3055 0.3055 0.3174  5 Tm 3.26-3.55, 1 Er 3.27
Er 0.0000 0.0000 0.5000  4 Tm 3.64, 2 Pr 3.70, 2 Er 3.87

2.
CoSnTeN2 | PBE | relaxed

Calculated values
- N(E_F) (states/eV/cell) = 4.94
- formation energy (no corrections) (eV/atom) = 1.537
- final energy (eV/atom) = -4.64

Cell lengths 4.0393, 4.0393, 6.3445 Å; angles 90.00, 90.00, 90.00 degrees
With the nearest neighbours (Å) after each atom.
Fractional positions:
Co 0.5000 0.5000 0.5000  4 Te 2.86
N 0.5000 0.0000 0.0000  2 Sn 2.02
N 0.0000 0.5000 0.0000  2 Sn 2.02
Te 0.0000 0.0000 0.5000  4 Co 2.86, 2 Sn 3.17
Sn 0.0000 0.0000 0.0000  4 N 2.02

3.
TbPrNd2Sb4 | PBE | relaxed

Calculated values
- N(E_F) (states/eV/cell) = 0.95
- formation energy (no corrections) (eV/atom) = -1.175
- final energy (eV/atom) = -5.60

Cell lengths 4.5059, 7.7998, 7.7976 Å; angles 70.53, 90.00, 90.00 degrees
With the nearest neighbours (Å) after each atom.
Fractional positions:
Sb 0.0000 0.7487 0.7460  1 Tb 3.15, 3 Nd 3.18-3.22, 2 Pr 3.19
Sb 0.5000 0.2545 0.7442  2 Tb 3.15, 3 Nd 3.18-3.22, 1 Pr 3.19
Sb 0.0000 0.2513 0.2540  1 Tb 3.15, 3 Nd 3.18-3.22, 2 Pr 3.19
Sb 0.5000 0.7455 0.2558  2 Tb 3.15, 3 Nd 3.18-3.22, 1 Pr 3.19
Tb 0.0000 0.5000 0.5000  6 Sb 3.15
Pr 0.5000 0.5000 0.0000  6 Sb 3.19
Nd 0.0000 0.0000 0.0000  6 Sb 3.22
Nd 0.5000 0.0000 0.5000  6 Sb 3.18

4.
LiLa2MgOs | PBE | relaxed

Calculated values
- N(E_F) (states/eV/cell) = 5.47
- energy of formation from the pure elements (meV/atom) = 108
- final energy (eV/atom) = -4.81

Cell lengths 5.4506, 5.4506, 5.1662 Å; angles 90.00, 90.00, 90.00 degrees
With the nearest neighbours (Å) after each atom.
Fractional positions:
Li 0.0000 0.0000 0.5000  2 Os 2.58
La 0.5000 0.0000 0.0000  2 Os 2.73
La 0.0000 0.5000 0.0000  2 Os 2.73
Mg 0.5000 0.5000 0.5000  8 La 3.75, 4 Li 3.85
Os 0.0000 0.0000 0.0000  2 Li 2.58, 4 La 2.73

5.
Cs2Al4Au | PBE | relaxed

Calculated values
- N(E_F) (states/eV/cell) = 3.18
- energy of formation from the pure elements (meV/atom) = 311
- final energy (eV/atom) = -2.54

Cell lengths 5.0321, 5.0321, 10.9072 Å; angles 76.66, 76.66, 90.00 degrees
With the nearest neighbours (Å) after each atom.
Fractional positions:
Cs 0.3288 0.3288 0.3425  4 Al 3.70
Cs 0.6712 0.6712 0.6575  4 Al 3.70
Al 0.8780 0.8780 0.2440  1 Au 2.52
Al 0.0000 0.5000 0.0000  2 Au 2.52
Al 0.5000 0.0000 0.0000  2 Au 2.52
Al 0.1220 0.1220 0.7560  1 Au 2.52
Au 0.0000 0.0000 0.0000  6 Al 2.52

6.
TcAs2Se | PBE | relaxed

Calculated values
- N(E_F) (states/eV/cell) = 3.42
- formation energy (no corrections) (eV/atom) = 0.228
- final energy (eV/atom) = -5.56

Cell lengths 6.2159, 6.2159, 6.2159 Å; angles 151.69, 138.39, 51.09 degrees
With the nearest neighbours (Å) after each atom.
Fractional positions:
As 0.4373 0.4373 0.0000  2 Tc 2.59
As 0.0627 0.0627 0.0000  2 Tc 2.59
Tc 0.2500 0.7500 0.5000  4 As 2.59, 4 Se 2.68
Se 0.7500 0.2500 0.5000  4 Tc 2.68

7.
TbY4Er7 | PBE | relaxed

Calculated values
- N(E_F) (states/eV/cell) = 21.52
- energy of formation from the pure elements (meV/atom) = 290
- final energy (eV/atom) = -4.91

Cell lengths 5.8313, 11.5183, 6.6659 Å; angles 83.78, 64.06, 75.34 degrees
With the nearest neighbours (Å) after each atom.
Fractional positions:
Y 0.3651 0.7755 0.4944  7 Er 3.35-3.58, 2 Y 3.62
Y 0.2438 0.3190 0.1934  4 Er 3.26-3.55, 2 Y 3.62
Y 0.6349 0.2245 0.5056  7 Er 3.35-3.58, 2 Y 3.62
Y 0.7562 0.6810 0.8066  4 Er 3.26-3.55, 2 Y 3.62
Er 0.9376 0.3216 0.8032  4 Er 3.25-3.54, 2 Y 3.58
Er 0.5000 0.0000 0.0000  2 Tb 2.92, 2 Er 3.12
Er 0.6337 0.4999 0.2327  4 Er 3.20-3.54, 5 Y 3.26-3.55
Er 0.2114 0.0759 0.5014  1 Tb 3.11, 4 Er 3.12-3.37, 4 Y 3.28-3.35
Er 0.0624 0.6784 0.1968  4 Er 3.25-3.54, 2 Y 3.58
Er 0.7886 0.9241 0.4986  1 Tb 3.11, 4 Er 3.12-3.37, 4 Y 3.28-3.35
Er 0.3663 0.5001 0.7673  4 Er 3.20-3.54, 5 Y 3.26-3.55
Tb 0.0000 0.0000 0.0000  4 Er 2.92-3.11

8.
LaGa2Au2 | PBE | relaxed

Calculated values
- N(E_F) (states/eV/cell) = 9.92
- energy of formation from the pure elements (meV/atom) = -336
- final energy (eV/atom) = -3.84

Cell lengths 7.9055, 7.9055, 3.4940 Å; angles 90.00, 90.00, 90.00 degrees
With the nearest neighbours (Å) after each atom.
Fractional positions:
Au 0.3737 0.8737 0.0000  1 Au 2.82, 6 Ga 2.87-2.94, 2 La 3.12
Au 0.1263 0.3737 0.0000  1 Au 2.82, 6 Ga 2.87-2.94, 2 La 3.12
Au 0.8737 0.6263 0.0000  1 Au 2.82, 6 Ga 2.87-2.94, 2 La 3.12
Au 0.6263 0.1263 0.0000  1 Au 2.82, 6 Ga 2.87-2.94, 2 La 3.12
Ga 0.8303 0.3303 0.5000  6 Au 2.87-2.94
Ga 0.3303 0.1697 0.5000  6 Au 2.87-2.94
Ga 0.6697 0.8303 0.5000  6 Au 2.87-2.94
Ga 0.1697 0.6697 0.5000  6 Au 2.87-2.94
La 0.5000 0.5000 0.0000  4 Au 3.12, 8 Ga 3.42
La 0.0000 0.0000 0.0000  4 Au 3.12, 8 Ga 3.42

9.
HgSbN2O | PBE | relaxed

Calculated values
- N(E_F) (states/eV/cell) = 3.77
- formation energy (no corrections) (eV/atom) = 1.655
- final energy (eV/atom) = -3.55

Cell lengths 4.1979, 4.1979, 4.1801 Å; angles 90.00, 90.00, 90.00 degrees
With the nearest neighbours (Å) after each atom.
Fractional positions:
Hg 0.0000 0.0000 0.0000  2 O 2.09, 4 N 2.10
Sb 0.5000 0.5000 0.5000  8 N 2.96, 4 O 2.97
N 0.5000 0.0000 0.0000  2 Hg 2.10
N 0.0000 0.5000 0.0000  2 Hg 2.10
O 0.0000 0.0000 0.5000  2 Hg 2.09

10.
CsTlCdBr4 | PBE | relaxed

Calculated values
- N(E_F) (states/eV/cell) = 0.00
- formation energy (no corrections) (eV/atom) = -1.146
- final energy (eV/atom) = -2.69

Cell lengths 7.8649, 7.8814, 9.8905 Å; angles 90.00, 108.08, 90.00 degrees
With the nearest neighbours (Å) after each atom.
Fractional positions:
Br 0.5842 0.2500 0.8614  1 Cd 2.63
Br 0.4383 0.7500 0.5814  1 Cd 2.61
Br 0.9977 0.5073 0.7361  1 Cd 2.64
Br 0.0023 0.0073 0.2639  1 Cd 2.64
Br 0.0023 0.4927 0.2639  1 Cd 2.64
Br 0.9977 0.9927 0.7361  1 Cd 2.64
Br 0.4158 0.7500 0.1386  1 Cd 2.63
Br 0.5617 0.2500 0.4186  1 Cd 2.61
Cd 0.2292 0.7500 0.3182  4 Br 2.61-2.64
Cd 0.7708 0.2500 0.6818  4 Br 2.61-2.64
Tl 0.7787 0.7500 0.4508  6 Br 3.31-3.55
Tl 0.2213 0.2500 0.5492  6 Br 3.31-3.55
Cs 0.2612 0.2500 0.0600  6 Br 3.60-3.81
Cs 0.7388 0.7500 0.9400  6 Br 3.60-3.81

11.
Zn2FeIr | PBE | relaxed

Calculated values
- N(E_F) (states/eV/cell) = 2.69
- energy of formation from the pure elements (meV/atom) = -55
- final energy (eV/atom) = -5.02

Cell lengths 2.8755, 2.8755, 6.6600 Å; angles 90.00, 90.00, 90.00 degrees
With the nearest neighbours (Å) after each atom.
Fractional positions:
Zn 0.0000 0.0000 0.9939  4 Ir 2.66, 8 Zn 2.72-2.88
Zn 0.5000 0.5000 0.2662  4 Fe 2.58, 8 Zn 2.72-2.88
Fe 0.0000 0.0000 0.5041  4 Ir 2.55, 4 Zn 2.58
Ir 0.5000 0.5000 0.7357  4 Fe 2.55, 4 Zn 2.66

12.
KAlSb4 | PBE | relaxed

Calculated values
- N(E_F) (states/eV/cell) = 0.22
- formation energy (no corrections) (eV/atom) = -0.228
- final energy (eV/atom) = -3.78

Cell lengths 4.2790, 10.5405, 18.2662 Å; angles 90.00, 90.00, 90.00 degrees
With the nearest neighbours (Å) after each atom.
Fractional positions:
K 0.2500 0.3243 0.9336  7 Sb 3.67-3.73, 1 Al 3.92
K 0.7500 0.1757 0.4336  7 Sb 3.67-3.73, 1 Al 3.92
K 0.7500 0.6757 0.0664  7 Sb 3.67-3.73, 1 Al 3.92
K 0.2500 0.8243 0.5664  7 Sb 3.67-3.73, 1 Al 3.92
Sb 0.2500 0.1715 0.6004  2 Al 2.71, 1 Sb 2.88
Sb 0.7500 0.8285 0.3996  2 Al 2.71, 1 Sb 2.88
Sb 0.7500 0.3285 0.1004  2 Al 2.71, 1 Sb 2.88
Sb 0.7500 0.8868 0.7254  1 Al 2.71, 2 Sb 2.91
Sb 0.2500 0.9638 0.0496  1 Al 2.73, 2 Sb 2.91
Sb 0.7500 0.3868 0.7746  1 Al 2.71, 2 Sb 2.91
Sb 0.2500 0.4638 0.4504  1 Al 2.73, 2 Sb 2.91
Sb 0.7500 0.5362 0.5496  1 Al 2.73, 2 Sb 2.91
Sb 0.2500 0.0702 0.7469  3 Sb 2.88-2.91
Sb 0.7500 0.0362 0.9504  1 Al 2.73, 2 Sb 2.91
Sb 0.7500 0.4298 0.2469  3 Sb 2.88-2.91
Sb 0.7500 0.9298 0.2531  3 Sb 2.88-2.91
Sb 0.2500 0.6132 0.2254  1 Al 2.71, 2 Sb 2.91
Sb 0.2500 0.5702 0.7531  3 Sb 2.88-2.91
Sb 0.2500 0.6715 0.8996  2 Al 2.71, 1 Sb 2.88
Sb 0.2500 0.1132 0.2746  1 Al 2.71, 2 Sb 2.91
Al 0.2500 0.6807 0.3685  4 Sb 2.71-2.73
Al 0.2500 0.1807 0.1315  4 Sb 2.71-2.73
Al 0.7500 0.3193 0.6315  4 Sb 2.71-2.73
Al 0.7500 0.8193 0.8685  4 Sb 2.71-2.73